{
  "formula": "Tc2HgAs",
  "functional": "PBE-GGA",
  "state": "optimized geometry",
  "sg": "P4mm, No. 99",
  "n_ef_per_ev_fu": 3.76,
  "relative_energy_kcal_per_mol_atoms": 0.00,
  "dft_energy_ev_per_atom": -6.290,
  "lattice_angstrom": [[2.939, 0.000, 0.000], [0.000, 2.939, 0.000], [0.000, 0.000, 8.397]],
  "species": ["Tc", "Hg", "Tc", "As"],
  "frac_coords": [[0.000, 0.000, 0.044], [0.500, 0.500, 0.789], [0.500, 0.500, 0.232], [0.000, 0.000, 0.435]]
}